This record from the Alexandria database describes crystalline Sc2Ni2Pt at its relaxed geometry. The functional is PBE-GGA.

Output
Theoretical density, Mg/m³: 8.447
E_form, meV per atom: -717
M_tot, μB per cell: 0.00

Cell lengths 6.8032, 6.8032, 3.4180 Å; angles 90.00, 90.00, 90.00 degrees
Last column: nearest neighbours and their distance in Å.
Space group P4/mbm (No. 127)
Symmetry-distinct sites (fractional):
Sc1 0.1806 0.3194 0.0000 [4 per cell]  6 Ni 2.55-2.71
Ni1 0.1221 0.6221 0.5000 [4 per cell]  1 Ni 2.35, 2 Sc 2.55
Pt1 0.0000 0.0000 0.5000 [2 per cell]  4 Ni 2.70, 8 Sc 3.03

---

This record from the Alexandria database describes crystalline ScNi4Pt at its relaxed geometry. The functional is PBE-GGA.

Output
Theoretical density, Mg/m³: 10.174
E_form, meV per atom: -447
M_tot, μB per cell: 0.01

Cell lengths 6.7678, 6.7678, 6.7678 Å; angles 90.00, 90.00, 90.00 degrees
Last column: nearest neighbours and their distance in Å.
Space group F-43m (No. 216)
Symmetry-distinct sites (fractional):
Sc1 0.0000 0.0000 0.0000 [4 per cell]  12 Ni 2.81, 4 Pt 2.93
Ni1 0.1242 0.1242 0.6242 [16 per cell]  6 Ni 2.38-2.41
Pt1 0.2500 0.2500 0.2500 [4 per cell]  12 Ni 2.80, 4 Sc 2.93

---

This record from the Alexandria database describes crystalline Sc2NiPt at its relaxed geometry. The functional is PBE-GGA.

Output
Theoretical density, Mg/m³: 7.948
E_form, meV per atom: -852
M_tot, μB per cell: 0.00

Cell lengths 4.2985, 3.4391, 9.7143 Å; angles 90.00, 90.00, 90.00 degrees
Last column: nearest neighbours and their distance in Å.
Space group Amm2 (No. 38)
Symmetry-distinct sites (fractional):
Sc1 0.0000 0.0000 0.0000 [2 per cell]  3 Pt 2.71-2.75, 4 Ni 2.81
Sc2 0.5000 0.0000 0.2826 [2 per cell]  3 Ni 2.67-2.78, 4 Pt 2.82
Ni1 0.5000 0.0000 0.5573 [2 per cell]  7 Sc 2.67-2.81, 2 Pt 2.68
Pt1 0.0000 0.0000 0.7213 [2 per cell]  2 Ni 2.68, 7 Sc 2.71-2.82

---

This record from the Alexandria database describes crystalline ScNiPt6 at its relaxed geometry. The functional is PBE-GGA.

Output
Theoretical density, Mg/m³: 17.150
E_form, meV per atom: -543
M_tot, μB per cell: 1.27

Cell lengths 3.9417, 3.9417, 7.9404 Å; angles 90.00, 90.00, 90.00 degrees
Last column: nearest neighbours and their distance in Å.
Space group P4/mmm (No. 123)
Symmetry-distinct sites (fractional):
Sc1 0.0000 0.0000 0.0000 [1 per cell]  12 Pt 2.79-2.84
Ni1 0.0000 0.0000 0.5000 [1 per cell]  12 Pt 2.76-2.79
Pt1 0.0000 0.5000 0.2570 [4 per cell]  2 Ni 2.76, 8 Pt 2.76-2.84, 2 Sc 2.84
Pt2 0.5000 0.5000 0.0000 [1 per cell]  4 Sc 2.79, 8 Pt 2.84
Pt3 0.5000 0.5000 0.5000 [1 per cell]  8 Pt 2.76, 4 Ni 2.79

---

This record from the Alexandria database describes crystalline Sc2NiPt at its relaxed geometry. The functional is PBE-GGA.

Output
Theoretical density, Mg/m³: 8.759
E_form, meV per atom: -579
M_tot, μB per cell: 0.00

Cell lengths 6.3875, 6.3875, 6.3875 Å; angles 90.00, 90.00, 90.00 degrees
Last column: nearest neighbours and their distance in Å.
Space group F-43m (No. 216)
Symmetry-distinct sites (fractional):
Sc1 0.0000 0.0000 0.0000 [4 per cell]  4 Sc 2.77, 4 Pt 2.77
Sc2 0.2500 0.2500 0.2500 [4 per cell]  4 Ni 2.77, 4 Sc 2.77
Ni1 0.0000 0.0000 0.5000 [4 per cell]  4 Sc 2.77, 4 Pt 2.77
Pt1 0.2500 0.2500 0.7500 [4 per cell]  4 Ni 2.77, 4 Sc 2.77

---

This record from the Alexandria database describes crystalline Sc12Ni6Pt at its relaxed geometry. The functional is PBE-GGA.

Output
Theoretical density, Mg/m³: 5.056
E_form, meV per atom: -441
M_tot, μB per cell: 0.02

Cell lengths 8.9371, 8.9371, 8.9371 Å; angles 90.00, 90.00, 90.00 degrees
Last column: nearest neighbours and their distance in Å.
Space group Im-3 (No. 204)
Symmetry-distinct sites (fractional):
Sc1 0.0000 0.2923 0.1835 [24 per cell]  3 Ni 2.47-2.75
Ni1 0.0000 0.1336 0.5000 [12 per cell]  1 Ni 2.39, 2 Sc 2.47
Pt1 0.0000 0.0000 0.0000 [2 per cell]  12 Sc 3.08

---

This record from the Alexandria database describes crystalline Sc2Ni3Pt3 at its relaxed geometry. The functional is PBE-GGA.

Output
Theoretical density, Mg/m³: 12.106
E_form, meV per atom: -779
M_tot, μB per cell: 1.15

Cell lengths 3.8941, 3.9152, 7.6582 Å; angles 90.00, 90.00, 90.00 degrees
Last column: nearest neighbours and their distance in Å.
Space group Pmmm (No. 47)
Symmetry-distinct sites (fractional):
Sc1 0.0000 0.0000 0.2453 [2 per cell]  6 Ni 2.71-2.76, 6 Pt 2.71-2.76
Ni1 0.5000 0.0000 0.0000 [1 per cell]  4 Sc 2.71, 4 Ni 2.71, 4 Pt 2.76
Ni2 0.5000 0.5000 0.2445 [2 per cell]  6 Pt 2.70-2.77, 2 Ni 2.71, 4 Sc 2.76
Pt1 0.0000 0.5000 0.0000 [1 per cell]  8 Ni 2.70-2.76, 4 Sc 2.71
Pt2 0.0000 0.5000 0.5000 [1 per cell]  4 Ni 2.76, 4 Pt 2.76, 4 Sc 2.76
Pt3 0.5000 0.0000 0.5000 [1 per cell]  4 Sc 2.76, 4 Pt 2.76, 4 Ni 2.77

---

This record from the Alexandria database describes crystalline ScNiPt at its relaxed geometry. The functional is PBE-GGA.

Output
Theoretical density, Mg/m³: 9.495
E_form, meV per atom: -579
M_tot, μB per cell: 0.00

Cell lengths 5.9343, 5.9343, 5.9343 Å; angles 90.00, 90.00, 90.00 degrees
Last column: nearest neighbours and their distance in Å.
Space group F-43m (No. 216)
Symmetry-distinct sites (fractional):
Sc1 0.0000 0.0000 0.0000 [4 per cell]  4 Ni 2.57
Ni1 0.2500 0.2500 0.2500 [4 per cell]  4 Sc 2.57, 4 Pt 2.57
Pt1 0.0000 0.0000 0.5000 [4 per cell]  4 Ni 2.57